Record 1
Below is a relaxed structure of TaBe2Ru, with properties calculated at the PBEsol level.

E_form: -31 meV per atom
calculated density: 10.02 g cm⁻³
DOS at the Fermi energy: 0.356 states/eV/atom
symmetry: Pmmm, No. 47
crystal system: orthorhombic
V: 50 Å³ per cell

POSCAR file:
```
TaBe2Ru
1.0
3.1315 0.0000 0.0000
0.0000 3.9107 0.0000
0.0000 0.0000 4.0603
Ta Be Ru
1 2 1
Direct
0.0000 0.0000 0.0000
0.0000 0.5000 0.5000
0.5000 0.5000 0.0000
0.5000 0.0000 0.5000
```



Record 2
Below is a relaxed structure of Ta2Be2Ru, with properties calculated at the PBEsol level.

E_form: -384 meV per atom
calculated density: 12.68 g cm⁻³
DOS at the Fermi energy: 0.132 states/eV/atom
symmetry: P4/mbm, No. 127
crystal system: tetragonal
V: 126 Å³ per cell

POSCAR file:
```
Ta2Be2Ru
1.0
6.2142 0.0000 0.0000
0.0000 6.2142 0.0000
0.0000 0.0000 3.2636
Ta Be Ru
4 4 2
Direct
0.1744 0.3256 0.0000
0.3256 0.8256 0.0000
0.6744 0.1744 0.0000
0.8256 0.6744 0.0000
0.1215 0.6215 0.5000
0.3785 0.1215 0.5000
0.6215 0.8785 0.5000
0.8785 0.3785 0.5000
0.0000 0.0000 0.5000
0.5000 0.5000 0.5000
```